This record from Alexandria describes a geometry-optimized SrCaBr structure. The functional is PBEsol.

## Properties
Formation energy from raw total energies, eV per atom: -0.52
DOS at the Fermi energy, states/eV/cell: 2.30
Electronic total energy, hartree per atom: -0.0908
Total magnetic moment, μB per cell: 1.0

a = 5.345 Å, b = 5.345 Å, c = 5.345 Å
α = 60.00°, β = 60.00°, γ = 60.00°
Each line ends with the local moment (μB).
Atoms (fractional coordinates):
Br: 0.250 0.250 0.250  0.02
Sr: 0.500 0.500 0.500  0.12
Ca: 0.000 0.000 0.000  0.14